# 1
{
  "formula": "Hf4AlFe",
  "functional": "PBE",
  "state": "optimized geometry",
  "relative_energy_mev_per_atom": 58,
  "total_energy_ev_per_atom": -8.84,
  "crystal_system": "monoclinic",
  "sg": "No. 15",
  "lattice": [[-1.362, -5.150, 0.666], [6.228, 0.557, -4.759], [1.210, 1.943, 6.772]],
  "species": ["Hf", "Hf", "Hf", "Hf", "Hf", "Hf", "Hf", "Hf", "Al", "Al", "Fe", "Fe"],
  "fractional_positions": [[0.055, 0.204, 0.841], [0.774, 0.711, 0.645], [0.285, 0.637, 0.841], [0.372, 0.934, 0.645], [0.628, 0.066, 0.355], [0.715, 0.363, 0.159], [0.226, 0.289, 0.355], [0.945, 0.796, 0.159], [0.372, 0.622, 0.244], [0.628, 0.378, 0.756], [0.248, 0.998, 0.996], [0.752, 0.002, 0.004]]
}



# 2
{
  "formula": "RbLa2Se3",
  "functional": "PBE",
  "state": "optimized geometry",
  "total_energy_ev_per_atom": -5.41,
  "crystal_system": "hexagonal",
  "sg": "No. 194",
  "lattice": [[-0.352, 3.525, 2.583], [1.966, -3.624, 1.492], [20.425, 7.827, -7.901]],
  "species": ["Rb", "Rb", "La", "La", "La", "La", "Se", "Se", "Se", "Se", "Se", "Se"],
  "fractional_positions": [[0.000, 0.000, 0.250], [0.000, 0.000, 0.750], [0.333, 0.667, 0.923], [0.667, 0.333, 0.077], [0.667, 0.333, 0.423], [0.333, 0.667, 0.577], [0.000, 0.000, 0.000], [0.333, 0.667, 0.147], [0.333, 0.667, 0.353], [0.000, 0.000, 0.500], [0.667, 0.333, 0.647], [0.667, 0.333, 0.853]]
}



# 3
{
  "formula": "TcCSeBr2",
  "functional": "PBE",
  "state": "optimized geometry",
  "relative_energy_mev_per_atom": 208,
  "total_energy_ev_per_atom": -3.53,
  "crystal_system": "tetragonal",
  "sg": "No. 123",
  "lattice": [[4.499, 0.000, 0.000], [0.000, 4.499, 0.000], [0.000, 0.000, 4.329]],
  "species": ["C", "Se", "Tc", "Br", "Br"],
  "fractional_positions": [[0.000, 0.000, 0.000], [0.000, 0.000, 0.500], [0.500, 0.500, 0.500], [0.000, 0.500, 0.000], [0.500, 0.000, 0.000]]
}



# 4
{
  "formula": "Pr3Y6Tm2Sc",
  "functional": "PBE",
  "state": "optimized geometry",
  "total_energy_ev_per_atom": -5.66,
  "crystal_system": "monoclinic",
  "sg": "No. 12",
  "lattice": [[-2.105, -0.275, -5.821], [-3.586, -1.899, 4.682], [-2.414, 11.453, 1.431]],
  "species": ["Pr", "Pr", "Pr", "Y", "Y", "Y", "Y", "Y", "Y", "Tm", "Tm", "Sc"],
  "fractional_positions": [[0.167, 0.833, 0.500], [0.833, 0.167, 0.500], [0.500, 0.500, 0.500], [0.920, 0.589, 0.758], [0.749, 0.749, 0.242], [0.080, 0.411, 0.242], [0.589, 0.920, 0.758], [0.251, 0.251, 0.758], [0.411, 0.080, 0.242], [0.333, 0.667, 0.000], [0.667, 0.333, 0.000], [0.000, 0.000, 0.000]]
}



# 5
{
  "formula": "GeH4Pd8",
  "functional": "PBE",
  "state": "optimized geometry",
  "total_energy_ev_per_atom": -4.64,
  "crystal_system": "trigonal",
  "sg": "No. 166",
  "lattice": [[-0.070, -5.196, -1.894], [2.744, -3.967, 2.707], [-3.979, -4.185, 3.551]],
  "species": ["Ge", "H", "H", "H", "H", "Pd", "Pd", "Pd", "Pd", "Pd", "Pd", "Pd", "Pd"],
  "fractional_positions": [[0.500, 0.500, 0.500], [0.000, 0.500, 0.000], [0.500, 0.500, 0.000], [0.500, 0.000, 0.000], [0.000, 0.000, 0.000], [0.731, 0.231, 0.807], [0.769, 0.269, 0.193], [0.269, 0.769, 0.193], [0.769, 0.769, 0.193], [0.801, 0.801, 0.598], [0.199, 0.199, 0.402], [0.231, 0.231, 0.807], [0.231, 0.731, 0.807]]
}



# 6
{
  "formula": "BeVCoOs",
  "functional": "PBE",
  "state": "optimized geometry",
  "total_energy_ev_per_atom": -8.09,
  "crystal_system": "cubic",
  "sg": "No. 216",
  "lattice": [[4.033, 0.000, 0.000], [2.017, 3.493, 0.000], [2.017, 1.164, 3.293]],
  "species": ["Co", "Os", "Be", "V"],
  "fractional_positions": [[0.250, 0.250, 0.250], [0.750, 0.750, 0.750], [0.000, 0.000, 0.000], [0.500, 0.500, 0.500]]
}



# 7
{
  "formula": "Ac5La2Tb6",
  "functional": "PBE",
  "state": "optimized geometry",
  "total_energy_ev_per_atom": -4.37,
  "crystal_system": "orthorhombic",
  "sg": "No. 55",
  "lattice": [[3.774, 0.000, 0.000], [0.000, 12.086, 0.000], [0.000, 0.000, 21.716]],
  "species": ["Ac", "Ac", "Ac", "Ac", "Ac", "Ac", "Ac", "Ac", "Ac", "Ac", "La", "La", "La", "La", "Tb", "Tb", "Tb", "Tb", "Tb", "Tb", "Tb", "Tb", "Tb", "Tb", "Tb", "Tb"],
  "fractional_positions": [[0.500, 0.304, 0.426], [0.500, 0.696, 0.574], [0.500, 0.804, 0.074], [0.500, 0.196, 0.926], [0.500, 0.548, 0.294], [0.500, 0.452, 0.706], [0.500, 0.048, 0.206], [0.500, 0.952, 0.794], [0.500, 0.500, 0.000], [0.500, 0.000, 0.500], [0.000, 0.291, 0.264], [0.000, 0.709, 0.736], [0.000, 0.791, 0.236], [0.000, 0.209, 0.764], [0.000, 0.047, 0.354], [0.000, 0.953, 0.646], [0.000, 0.547, 0.146], [0.000, 0.453, 0.854], [0.500, 0.303, 0.122], [0.500, 0.697, 0.878], [0.500, 0.803, 0.378], [0.500, 0.197, 0.622], [0.000, 0.579, 0.437], [0.000, 0.421, 0.563], [0.000, 0.079, 0.063], [0.000, 0.921, 0.937]]
}



# 8
{
  "formula": "TaTeAs2",
  "functional": "PBE",
  "state": "optimized geometry",
  "total_energy_ev_per_atom": -6.01,
  "crystal_system": "orthorhombic",
  "sg": "No. 44",
  "lattice": [[-2.705, -2.078, 6.584], [0.599, -5.632, 4.786], [2.864, 5.211, -4.430]],
  "species": ["As", "As", "Te", "Ta"],
  "fractional_positions": [[0.033, 0.033, 0.000], [0.657, 0.157, 0.500], [0.327, 0.827, 0.500], [0.484, 0.484, 0.000]]
}



# 9
{
  "formula": "BaZn2CoP",
  "functional": "PBE",
  "state": "optimized geometry",
  "total_energy_ev_per_atom": -1.90,
  "crystal_system": "tetragonal",
  "sg": "No. 123",
  "lattice": [[-3.722, -5.148, -0.593], [0.489, -0.983, 5.471], [-5.151, 3.598, 1.107]],
  "species": ["P", "Zn", "Zn", "Co", "Ba"],
  "fractional_positions": [[0.000, 0.500, 0.000], [0.000, 0.000, 0.500], [0.500, 0.000, 0.000], [0.500, 0.500, 0.500], [0.000, 0.000, 0.000]]
}



# 10
{
  "formula": "Sr3CdI2Br6",
  "functional": "PBE",
  "state": "optimized geometry",
  "total_energy_ev_per_atom": -3.25,
  "crystal_system": "monoclinic",
  "sg": "No. 12",
  "lattice": [[6.989, 0.000, 0.649], [0.000, 8.879, 0.000], [-0.171, -4.439, 7.646]],
  "species": ["Sr", "Sr", "Sr", "Cd", "I", "I", "Br", "Br", "Br", "Br", "Br", "Br"],
  "fractional_positions": [[0.000, 0.500, 0.000], [0.500, 0.500, 0.500], [0.500, 0.000, 0.500], [0.500, 0.000, 0.000], [0.196, 0.688, 0.375], [0.804, 0.312, 0.625], [0.729, 0.312, 0.142], [0.271, 0.688, 0.858], [0.715, 0.842, 0.684], [0.285, 0.158, 0.316], [0.271, 0.170, 0.858], [0.729, 0.830, 0.142]]
}



# 11
{
  "formula": "AsPPb3",
  "functional": "PBE",
  "state": "optimized geometry",
  "relative_energy_mev_per_atom": 0,
  "total_energy_ev_per_atom": -3.76,
  "crystal_system": "cubic",
  "sg": "No. 221",
  "lattice": [[-2.354, 4.551, 1.773], [-4.878, -2.290, -0.599], [0.246, -1.855, 5.089]],
  "species": ["Pb", "Pb", "Pb", "P", "As"],
  "fractional_positions": [[0.000, 0.500, 0.000], [0.000, 0.000, 0.500], [0.500, 0.000, 0.000], [0.000, 0.000, 0.000], [0.500, 0.500, 0.500]]
}



# 12
{
  "formula": "Ca3Mg4Ga4",
  "functional": "PBE",
  "state": "optimized geometry",
  "total_energy_ev_per_atom": -2.55,
  "crystal_system": "orthorhombic",
  "sg": "No. 71",
  "lattice": [[-2.068, -0.234, 3.941], [6.602, -2.390, 3.322], [-0.367, 8.542, -2.206]],
  "species": ["Ca", "Ca", "Ca", "Mg", "Mg", "Mg", "Mg", "Ga", "Ga", "Ga", "Ga"],
  "fractional_positions": [[0.121, 0.121, 0.242], [0.879, 0.879, 0.758], [0.000, 0.500, 0.000], [0.328, 0.134, 0.656], [0.672, 0.478, 0.344], [0.672, 0.866, 0.344], [0.328, 0.522, 0.656], [0.223, 0.723, 0.445], [0.777, 0.277, 0.555], [0.500, 0.825, 0.000], [0.500, 0.175, 0.000]]
}



# 13
{
  "formula": "NdSm9Y2",
  "functional": "PBE",
  "state": "optimized geometry",
  "total_energy_ev_per_atom": -5.00,
  "crystal_system": "tetragonal",
  "sg": "No. 123",
  "lattice": [[-4.495, 2.225, -1.047], [-2.431, -4.349, 1.195], [-1.110, 4.636, 14.609]],
  "species": ["Nd", "Sm", "Sm", "Sm", "Sm", "Sm", "Sm", "Sm", "Sm", "Sm", "Y", "Y"],
  "fractional_positions": [[0.000, 0.000, 0.000], [0.500, 0.500, 0.000], [0.500, 0.500, 0.335], [0.500, 0.500, 0.665], [0.500, 0.000, 0.168], [0.500, 0.000, 0.500], [0.500, 0.000, 0.832], [0.000, 0.500, 0.168], [0.000, 0.500, 0.500], [0.000, 0.500, 0.832], [0.000, 0.000, 0.334], [0.000, 0.000, 0.666]]
}



# 14
{
  "formula": "DyPu4S5",
  "functional": "PBE",
  "state": "optimized geometry",
  "total_energy_ev_per_atom": -10.07,
  "crystal_system": "tetragonal",
  "sg": "No. 139",
  "lattice": [[-3.815, 0.900, -0.401], [-0.720, -3.641, -1.323], [-0.119, -2.914, 13.947]],
  "species": ["Dy", "Pu", "Pu", "Pu", "Pu", "S", "S", "S", "S", "S"],
  "fractional_positions": [[0.000, 0.000, 0.000], [0.400, 0.400, 0.801], [0.801, 0.801, 0.601], [0.199, 0.199, 0.399], [0.600, 0.600, 0.199], [0.098, 0.098, 0.197], [0.500, 0.500, 0.000], [0.902, 0.902, 0.803], [0.299, 0.299, 0.598], [0.701, 0.701, 0.402]]
}



# 15
{
  "formula": "Mg4Au5",
  "functional": "PBE",
  "state": "optimized geometry",
  "relative_energy_mev_per_atom": 0,
  "total_energy_ev_per_atom": -3.05,
  "crystal_system": "hexagonal",
  "sg": "No. 193",
  "lattice": [[-7.638, 0.671, 2.667], [5.732, -3.099, 4.842], [1.161, 5.270, 1.999]],
  "species": ["Au", "Au", "Au", "Au", "Au", "Au", "Au", "Au", "Au", "Au", "Mg", "Mg", "Mg", "Mg", "Mg", "Mg", "Mg", "Mg"],
  "fractional_positions": [[0.000, 0.698, 0.250], [0.302, 0.302, 0.250], [0.698, 0.000, 0.250], [0.000, 0.302, 0.750], [0.698, 0.698, 0.750], [0.302, 0.000, 0.750], [0.667, 0.333, 0.000], [0.333, 0.667, 0.500], [0.333, 0.667, 0.000], [0.667, 0.333, 0.500], [0.000, 0.000, 0.000], [0.000, 0.000, 0.500], [0.000, 0.362, 0.250], [0.638, 0.638, 0.250], [0.362, 0.000, 0.250], [0.000, 0.638, 0.750], [0.362, 0.362, 0.750], [0.638, 0.000, 0.750]]
}



# 16
{
  "formula": "ScAlCu2",
  "functional": "PBE",
  "state": "optimized geometry",
  "total_energy_ev_per_atom": -4.83,
  "crystal_system": "tetragonal",
  "sg": "No. 123",
  "lattice": [[2.991, 0.000, 0.000], [0.000, 2.991, 0.000], [0.000, 0.000, 6.771]],
  "species": ["Sc", "Al", "Cu", "Cu"],
  "fractional_positions": [[0.500, 0.500, 0.250], [0.500, 0.500, 0.750], [0.000, 0.000, 0.972], [0.000, 0.000, 0.528]]
}



# 17
{
  "formula": "Hf2NbFe2",
  "functional": "PBE",
  "state": "optimized geometry",
  "total_energy_ev_per_atom": -9.50,
  "crystal_system": "tetragonal",
  "sg": "No. 127",
  "lattice": [[-6.126, -1.424, 0.075], [1.220, -5.061, 3.530], [-0.501, 2.342, 3.531]],
  "species": ["Nb", "Nb", "Hf", "Hf", "Hf", "Hf", "Fe", "Fe", "Fe", "Fe"],
  "fractional_positions": [[0.000, 0.000, 0.000], [0.500, 0.500, 0.000], [0.181, 0.681, 0.500], [0.681, 0.819, 0.500], [0.819, 0.319, 0.500], [0.319, 0.181, 0.500], [0.376, 0.876, 0.000], [0.876, 0.624, 0.000], [0.624, 0.124, 0.000], [0.124, 0.376, 0.000]]
}



# 18
{
  "formula": "Na2HgBr2Cl2",
  "functional": "PBE",
  "state": "optimized geometry",
  "total_energy_ev_per_atom": -2.58,
  "crystal_system": "monoclinic",
  "sg": "No. 12",
  "lattice": [[4.248, 0.000, 0.000], [2.124, 8.038, 0.341], [2.124, 3.389, 6.097]],
  "species": ["Na", "Na", "Hg", "Br", "Br", "Cl", "Cl"],
  "fractional_positions": [[0.227, 0.263, 0.283], [0.773, 0.737, 0.717], [0.000, 0.000, 0.000], [0.607, 0.143, 0.644], [0.393, 0.857, 0.356], [0.154, 0.680, 0.013], [0.846, 0.320, 0.987]]
}



# 19
{
  "formula": "Pu8Sb5Au",
  "functional": "PBE",
  "state": "optimized geometry",
  "total_energy_ev_per_atom": -10.38,
  "crystal_system": "tetragonal",
  "sg": "No. 82",
  "lattice": [[-3.795, -7.014, -0.370], [5.714, 0.251, -5.569], [3.271, 0.837, 7.234]],
  "species": ["Pu", "Pu", "Pu", "Pu", "Pu", "Pu", "Pu", "Pu", "Sb", "Sb", "Sb", "Sb", "Sb", "Au"],
  "fractional_positions": [[0.128, 0.747, 0.026], [0.974, 0.102, 0.721], [0.787, 0.253, 0.381], [0.619, 0.406, 0.872], [0.466, 0.594, 0.213], [0.619, 0.898, 0.872], [0.279, 0.253, 0.381], [0.128, 0.747, 0.534], [0.996, 0.374, 0.124], [0.876, 0.872, 0.250], [0.750, 0.626, 0.622], [0.500, 0.000, 0.500], [0.378, 0.128, 0.004], [0.250, 0.500, 0.750]]
}



# 20
{
  "formula": "RePtSe2",
  "functional": "PBE",
  "state": "optimized geometry",
  "relative_energy_mev_per_atom": 11,
  "total_energy_ev_per_atom": -6.27,
  "crystal_system": "monoclinic",
  "sg": "No. 6",
  "lattice": [[3.799, 0.000, 0.000], [0.000, 2.925, 0.007], [0.000, 1.458, 7.527]],
  "species": ["Pt", "Re", "Se", "Se"],
  "fractional_positions": [[0.000, 0.551, 0.523], [0.500, 0.966, 0.692], [0.000, 0.849, 0.925], [0.500, 0.134, 0.360]]
}



# 21
{
  "formula": "AcAuF",
  "functional": "PBE",
  "state": "optimized geometry",
  "relative_energy_mev_per_atom": 149,
  "total_energy_ev_per_atom": -5.17,
  "crystal_system": "hexagonal",
  "sg": "No. 187",
  "lattice": [[4.457, 0.000, 0.000], [0.000, 4.383, 0.000], [0.000, -2.191, 3.795]],
  "species": ["Ac", "Au", "F"],
  "fractional_positions": [[0.167, 0.000, 0.000], [0.667, 0.667, 0.333], [0.167, 0.333, 0.667]]
}



# 22
{
  "formula": "Hf3CdC",
  "functional": "PBE",
  "state": "optimized geometry",
  "relative_energy_mev_per_atom": 30,
  "total_energy_ev_per_atom": -8.40,
  "crystal_system": "monoclinic",
  "sg": "No. 10",
  "lattice": [[-1.329, -4.522, 4.237], [4.832, 0.982, 2.570], [-3.837, 3.292, 2.316]],
  "species": ["C", "C", "Hf", "Hf", "Hf", "Hf", "Hf", "Hf", "Cd", "Cd"],
  "fractional_positions": [[0.289, 0.664, 0.215], [0.289, 0.164, 0.715], [0.531, 0.914, 0.464], [0.289, 0.914, 0.965], [0.048, 0.914, 0.465], [0.289, 0.414, 0.465], [0.531, 0.414, 0.964], [0.048, 0.414, 0.965], [0.789, 0.414, 0.464], [0.789, 0.914, 0.964]]
}



# 23
{
  "formula": "AlO2F2",
  "functional": "PBE",
  "state": "optimized geometry",
  "total_energy_ev_per_atom": -4.86,
  "crystal_system": "tetragonal",
  "sg": "No. 123",
  "lattice": [[3.795, 0.000, 0.000], [0.000, 3.795, 0.000], [0.000, 0.000, 3.586]],
  "species": ["Al", "O", "O", "F", "F"],
  "fractional_positions": [[0.000, 0.000, 0.000], [0.000, 0.500, 0.000], [0.500, 0.000, 0.000], [0.500, 0.500, 0.500], [0.000, 0.000, 0.500]]
}